Entry A
Density functional theory data (PBE-GGA) for an optimized crystal structure of Mg2SnPb2.

Cell and atoms, written as CIF:
```
data_Mg2SnPb2
_chemical_formula_sum 'Mg4 Sn2 Pb4'
_space_group_name_H-M_alt 'P 4/m b m'
_space_group_IT_number 127
_space_group_name_Hall '-P 4 2ab'
_cell_length_a 9.063
_cell_length_b 9.063
_cell_length_c 3.313
_cell_angle_alpha 90.00
_cell_angle_beta 90.00
_cell_angle_gamma 90.00
loop_
_atom_site_label
_atom_site_type_symbol
_atom_site_fract_x
_atom_site_fract_y
_atom_site_fract_z
_atom_site_occupancy
Mg1 Mg 0.136 0.364 0.000 1
Sn1 Sn 0.000 0.000 0.500 1
Pb1 Pb 0.161 0.661 0.500 1
```



Entry B
Density functional theory data (PBE-GGA) for an optimized crystal structure of Mg2SnPb2.

Cell and atoms, written as CIF:
```
data_Mg2SnPb2
_chemical_formula_sum 'Mg4 Sn2 Pb4'
_space_group_name_H-M_alt 'I 4/m m m'
_space_group_IT_number 139
_space_group_name_Hall '-I 4 2'
_cell_length_a 4.310
_cell_length_b 4.310
_cell_length_c 15.596
_cell_angle_alpha 90.00
_cell_angle_beta 90.00
_cell_angle_gamma 90.00
loop_
_atom_site_label
_atom_site_type_symbol
_atom_site_fract_x
_atom_site_fract_y
_atom_site_fract_z
_atom_site_occupancy
Mg1 Mg 0.000 0.500 0.250 1
Sn1 Sn 0.000 0.000 0.000 1
Pb1 Pb 0.000 0.000 0.397 1
```



Which of them is the least stable? Correct choice: entry B.



Entry A
Density functional theory data (PBE-GGA) for an optimized crystal structure of TbMgSnPb.

Cell and atoms, written as CIF:
```
data_TbMgSnPb
_chemical_formula_sum 'Tb1 Mg1 Sn1 Pb1'
_space_group_name_H-M_alt 'P m m m'
_space_group_IT_number 47
_space_group_name_Hall '-P 2 2'
_cell_length_a 4.453
_cell_length_b 4.798
_cell_length_c 4.831
_cell_angle_alpha 90.00
_cell_angle_beta 90.00
_cell_angle_gamma 90.00
loop_
_atom_site_label
_atom_site_type_symbol
_atom_site_fract_x
_atom_site_fract_y
_atom_site_fract_z
_atom_site_occupancy
Tb1 Tb 0.000 0.000 0.000 1
Mg1 Mg 0.000 0.500 0.500 1
Sn1 Sn 0.500 0.500 0.000 1
Pb1 Pb 0.500 0.000 0.500 1
```



Entry B
Density functional theory data (PBE-GGA) for an optimized crystal structure of TbMgSnPb.

Cell and atoms, written as CIF:
```
data_TbMgSnPb
_chemical_formula_sum 'Tb4 Mg4 Sn4 Pb4'
_space_group_name_H-M_alt 'F -4 3 m'
_space_group_IT_number 216
_space_group_name_Hall 'F -4 2 3'
_cell_length_a 7.538
_cell_length_b 7.538
_cell_length_c 7.538
_cell_angle_alpha 90.00
_cell_angle_beta 90.00
_cell_angle_gamma 90.00
loop_
_atom_site_label
_atom_site_type_symbol
_atom_site_fract_x
_atom_site_fract_y
_atom_site_fract_z
_atom_site_occupancy
Tb1 Tb 0.000 0.000 0.000 1
Mg1 Mg 0.000 0.000 0.500 1
Sn1 Sn 0.250 0.250 0.250 1
Pb1 Pb 0.250 0.250 0.750 1
```



Which of them is the least stable? Correct choice: entry B.



Entry A
Density functional theory data (PBE-GGA) for an optimized crystal structure of ThMgSnPb.

Cell and atoms, written as CIF:
```
data_ThMgSnPb
_chemical_formula_sum 'Th1 Mg1 Sn1 Pb1'
_space_group_name_H-M_alt 'P m m m'
_space_group_IT_number 47
_space_group_name_Hall '-P 2 2'
_cell_length_a 4.464
_cell_length_b 4.888
_cell_length_c 5.004
_cell_angle_alpha 90.00
_cell_angle_beta 90.00
_cell_angle_gamma 90.00
loop_
_atom_site_label
_atom_site_type_symbol
_atom_site_fract_x
_atom_site_fract_y
_atom_site_fract_z
_atom_site_occupancy
Th1 Th 0.000 0.000 0.000 1
Mg1 Mg 0.000 0.500 0.500 1
Sn1 Sn 0.500 0.500 0.000 1
Pb1 Pb 0.500 0.000 0.500 1
```



Entry B
Density functional theory data (PBE-GGA) for an optimized crystal structure of ThMgSnPb.

Cell and atoms, written as CIF:
```
data_ThMgSnPb
_chemical_formula_sum 'Th4 Mg4 Sn4 Pb4'
_space_group_name_H-M_alt 'F -4 3 m'
_space_group_IT_number 216
_space_group_name_Hall 'F -4 2 3'
_cell_length_a 7.622
_cell_length_b 7.622
_cell_length_c 7.622
_cell_angle_alpha 90.00
_cell_angle_beta 90.00
_cell_angle_gamma 90.00
loop_
_atom_site_label
_atom_site_type_symbol
_atom_site_fract_x
_atom_site_fract_y
_atom_site_fract_z
_atom_site_occupancy
Th1 Th 0.000 0.000 0.000 1
Mg1 Mg 0.000 0.000 0.500 1
Sn1 Sn 0.250 0.250 0.250 1
Pb1 Pb 0.250 0.250 0.750 1
```



Which of them is the least stable? Correct choice: entry B.



Entry A
Density functional theory data (PBE-GGA) for an optimized crystal structure of MgTlSnPb.

Cell and atoms, written as CIF:
```
data_MgTlSnPb
_chemical_formula_sum 'Mg4 Tl4 Sn4 Pb4'
_space_group_name_H-M_alt 'F -4 3 m'
_space_group_IT_number 216
_space_group_name_Hall 'F -4 2 3'
_cell_length_a 7.657
_cell_length_b 7.657
_cell_length_c 7.657
_cell_angle_alpha 90.00
_cell_angle_beta 90.00
_cell_angle_gamma 90.00
loop_
_atom_site_label
_atom_site_type_symbol
_atom_site_fract_x
_atom_site_fract_y
_atom_site_fract_z
_atom_site_occupancy
Mg1 Mg 0.000 0.000 0.000 1
Tl1 Tl 0.250 0.250 0.250 1
Sn1 Sn 0.250 0.250 0.750 1
Pb1 Pb 0.000 0.000 0.500 1
```



Entry B
Density functional theory data (PBE-GGA) for an optimized crystal structure of MgTlSnPb.

Cell and atoms, written as CIF:
```
data_MgTlSnPb
_chemical_formula_sum 'Mg1 Tl1 Sn1 Pb1'
_space_group_name_H-M_alt 'P 4 m m'
_space_group_IT_number 99
_space_group_name_Hall 'P 4 -2'
_cell_length_a 3.532
_cell_length_b 3.532
_cell_length_c 8.899
_cell_angle_alpha 90.00
_cell_angle_beta 90.00
_cell_angle_gamma 90.00
loop_
_atom_site_label
_atom_site_type_symbol
_atom_site_fract_x
_atom_site_fract_y
_atom_site_fract_z
_atom_site_occupancy
Mg1 Mg 0.000 0.000 0.000 1
Tl1 Tl 0.000 0.000 0.519 1
Sn1 Sn 0.500 0.500 0.791 1
Pb1 Pb 0.500 0.500 0.231 1
```



Which of them is the least stable? Correct choice: entry A.



Entry A
Density functional theory data (PBE-GGA) for an optimized crystal structure of TmMgSnPb.

Cell and atoms, written as CIF:
```
data_TmMgSnPb
_chemical_formula_sum 'Tm1 Mg1 Sn1 Pb1'
_space_group_name_H-M_alt 'P m m m'
_space_group_IT_number 47
_space_group_name_Hall '-P 2 2'
_cell_length_a 4.333
_cell_length_b 4.771
_cell_length_c 4.911
_cell_angle_alpha 90.00
_cell_angle_beta 90.00
_cell_angle_gamma 90.00
loop_
_atom_site_label
_atom_site_type_symbol
_atom_site_fract_x
_atom_site_fract_y
_atom_site_fract_z
_atom_site_occupancy
Tm1 Tm 0.000 0.000 0.000 1
Mg1 Mg 0.000 0.500 0.500 1
Sn1 Sn 0.500 0.500 0.000 1
Pb1 Pb 0.500 0.000 0.500 1
```



Entry B
Density functional theory data (PBE-GGA) for an optimized crystal structure of TmMgSnPb.

Cell and atoms, written as CIF:
```
data_TmMgSnPb
_chemical_formula_sum 'Tm4 Mg4 Sn4 Pb4'
_space_group_name_H-M_alt 'F -4 3 m'
_space_group_IT_number 216
_space_group_name_Hall 'F -4 2 3'
_cell_length_a 7.483
_cell_length_b 7.483
_cell_length_c 7.483
_cell_angle_alpha 90.00
_cell_angle_beta 90.00
_cell_angle_gamma 90.00
loop_
_atom_site_label
_atom_site_type_symbol
_atom_site_fract_x
_atom_site_fract_y
_atom_site_fract_z
_atom_site_occupancy
Tm1 Tm 0.000 0.000 0.000 1
Mg1 Mg 0.000 0.000 0.500 1
Sn1 Sn 0.250 0.250 0.250 1
Pb1 Pb 0.250 0.250 0.750 1
```



Which of them is the least stable? Correct choice: entry B.



Entry A
Density functional theory data (PBE-GGA) for an optimized crystal structure of YMgSnPb.

Cell and atoms, written as CIF:
```
data_YMgSnPb
_chemical_formula_sum 'Y1 Mg1 Sn1 Pb1'
_space_group_name_H-M_alt 'P m m m'
_space_group_IT_number 47
_space_group_name_Hall '-P 2 2'
_cell_length_a 4.431
_cell_length_b 4.800
_cell_length_c 4.852
_cell_angle_alpha 90.00
_cell_angle_beta 90.00
_cell_angle_gamma 90.00
loop_
_atom_site_label
_atom_site_type_symbol
_atom_site_fract_x
_atom_site_fract_y
_atom_site_fract_z
_atom_site_occupancy
Y1 Y 0.000 0.000 0.000 1
Mg1 Mg 0.000 0.500 0.500 1
Sn1 Sn 0.500 0.500 0.000 1
Pb1 Pb 0.500 0.000 0.500 1
```



Entry B
Density functional theory data (PBE-GGA) for an optimized crystal structure of YMgSnPb.

Cell and atoms, written as CIF:
```
data_YMgSnPb
_chemical_formula_sum 'Y4 Mg4 Sn4 Pb4'
_space_group_name_H-M_alt 'F -4 3 m'
_space_group_IT_number 216
_space_group_name_Hall 'F -4 2 3'
_cell_length_a 7.537
_cell_length_b 7.537
_cell_length_c 7.537
_cell_angle_alpha 90.00
_cell_angle_beta 90.00
_cell_angle_gamma 90.00
loop_
_atom_site_label
_atom_site_type_symbol
_atom_site_fract_x
_atom_site_fract_y
_atom_site_fract_z
_atom_site_occupancy
Y1 Y 0.000 0.000 0.000 1
Mg1 Mg 0.000 0.000 0.500 1
Sn1 Sn 0.250 0.250 0.750 1
Pb1 Pb 0.250 0.250 0.250 1
```



Which of them is the least stable? Correct choice: entry B.